Dy2Fe3Si5: relaxed, GGA-PBE.

abc: 7.972 7.972 7.972
angles: 108.22 85.21 140.44
Sites, in units of the cell vectors:
Dy (0.138, 0.231, 0.369)
Dy (0.362, 0.731, 0.092)
Dy (0.638, 0.269, 0.908)
Dy (0.862, 0.769, 0.631)
Fe (0.145, 0.909, 0.055)
Fe (0.250, 0.750, 0.500)
Fe (0.355, 0.409, 0.764)
Fe (0.645, 0.591, 0.236)
Fe (0.750, 0.250, 0.500)
Fe (0.855, 0.091, 0.945)
Si (0.040, 0.750, 0.290)
Si (0.093, 0.670, 0.763)
Si (0.250, 0.250, 0.000)
Si (0.407, 0.170, 0.578)
Si (0.460, 0.750, 0.710)
Si (0.540, 0.250, 0.290)
Si (0.593, 0.830, 0.422)
Si (0.750, 0.750, 0.000)
Si (0.907, 0.330, 0.237)
Si (0.960, 0.250, 0.710)

Calculated values
ρ = 7.10 g cm⁻³
DOS(E_F) = 0.544 states/eV/atom
E_form (uncorrected) = -679 meV per atom
Excess energy over the best structure of this formula in the dataset = 19 meV/atom